1.
First-principles (PBE-GGA) data for a relaxed structure of NbP2Cl, as listed in Alexandria via LeMat-Bulk.

The structure belongs to space group I-42d (No. 122); the cell edges are 6.021, 6.021 and 11.578 Å and the angles 90.00°, 90.00° and 90.00°. The asymmetric unit holds Nb at (0.000, 0.000, 0.000), P at (0.188, 0.250, 0.125) and Cl at (0.000, 0.000, 0.500).

The calculation puts the total DFT energy (no corrections) at -5.39 eV per atom. The value obtained for the density of states at the Fermi level is 0.45 states/eV/atom. Its calculated density is 3011 kg/m3. The raw formation energy is 1.2 eV per formula unit.

2.
First-principles (PBE-GGA) data for a relaxed structure of SrTlRe, as listed in Alexandria via LeMat-Bulk.

The structure belongs to space group F-43m (No. 216); the cell edges are 7.314, 7.314 and 7.314 Å and the angles 90.00°, 90.00° and 90.00°. The asymmetric unit holds Sr at (0.000, 0.000, 0.000), Tl at (0.250, 0.250, 0.250) and Re at (0.250, 0.250, 0.750).

For the energy relative to the elements, the calculation gives 487 kJ/mol of formula units. The calculation puts the total DFT energy (no corrections) at -3.82 eV per atom. The value obtained for the density of states at the Fermi level is 0.78 states/eV/atom. Its calculated density is 8119 kg/m3.

3.
First-principles (PBE-GGA) data for a relaxed structure of LiY3Nb, as listed in Alexandria via LeMat-Bulk.

The structure belongs to space group Pm-3m (No. 221); the cell edges are 5.512, 5.512 and 5.512 Å and the angles 90.00°, 90.00° and 90.00°. The asymmetric unit holds Li at (0.000, 0.000, 0.000), Y at (0.000, 0.500, 0.500) and Nb at (0.500, 0.500, 0.500).

For the energy relative to the elements, the calculation gives 265 kJ/mol of formula units. The calculation puts the total DFT energy (no corrections) at -5.73 eV per atom. The value obtained for the density of states at the Fermi level is 1.57 states/eV/atom. Its calculated density is 3635 kg/m3.

4.
First-principles (PBE-GGA) data for a relaxed structure of LiFeAs2, as listed in Alexandria via LeMat-Bulk.

The structure belongs to space group I-42d (No. 122); the cell edges are 5.891, 5.891 and 10.091 Å and the angles 90.00°, 90.00° and 90.00°. The asymmetric unit holds Li at (0.000, 0.000, 0.000), Fe at (0.000, 0.000, 0.500) and As at (0.183, 0.250, 0.625).

For the energy relative to the elements, the calculation gives 15 kJ/mol of formula units. The calculation puts the total DFT energy (no corrections) at -4.88 eV per atom. The value obtained for the density of states at the Fermi level is 0.55 states/eV/atom. Its calculated density is 4033 kg/m3.

5.
First-principles (PBE-GGA) data for a relaxed structure of Tb6Ho16Tm7, as listed in Alexandria via LeMat-Bulk.

The structure belongs to space group Fm-3m (No. 225); the cell edges are 15.548, 15.548 and 15.548 Å and the angles 90.00°, 90.00° and 90.00°. The asymmetric unit holds Tb at (0.000, 0.000, 0.217), Ho at (0.122, 0.122, 0.378), Ho at (0.153, 0.153, 0.153), Tm at (0.000, 0.000, 0.500) and Tm at (0.000, 0.250, 0.250).

For the energy relative to the elements, the calculation gives 672 kJ/mol of formula units. The calculation puts the total DFT energy (no corrections) at -4.32 eV per atom. The value obtained for the density of states at the Fermi level is 1.86 states/eV/atom. Its calculated density is 8439 kg/m3.

6.
First-principles (PBE-GGA) data for a relaxed structure of MoPC3, as listed in Alexandria via LeMat-Bulk.

The structure belongs to space group Pm-3m (No. 221); the cell edges are 3.615, 3.615 and 3.615 Å and the angles 90.00°, 90.00° and 90.00°. The asymmetric unit holds Mo at (0.000, 0.000, 0.000), P at (0.500, 0.500, 0.500) and C at (0.000, 0.500, 0.500).

For the energy relative to the elements, the calculation gives 932 kJ/mol of formula units. The calculation puts the total DFT energy (no corrections) at -6.85 eV per atom. The value obtained for the density of states at the Fermi level is 0.74 states/eV/atom. Its calculated density is 5726 kg/m3.

7.
First-principles (PBE-GGA) data for a relaxed structure of Ti2HgPtF, as listed in Alexandria via LeMat-Bulk.

The structure belongs to space group P4/mmm (No. 123); the cell edges are 4.949, 4.949 and 4.268 Å and the angles 90.00°, 90.00° and 90.00°. The asymmetric unit holds Ti at (0.000, 0.500, 0.000), Hg at (0.000, 0.000, 0.500), Pt at (0.500, 0.500, 0.000) and F at (0.500, 0.500, 0.500).

The calculation puts the total DFT energy (no corrections) at -4.70 eV per atom. The value obtained for the density of states at the Fermi level is 0.95 states/eV/atom. Its calculated density is 8107 kg/m3. The raw formation energy is 0.5 eV per formula unit.

8.
First-principles (PBE-GGA) data for a relaxed structure of BRh, as listed in Alexandria via LeMat-Bulk.

The structure belongs to space group I4/m (No. 87); the cell edges are 7.225, 7.225 and 4.114 Å and the angles 90.00°, 90.00° and 90.00°. The asymmetric unit holds B at (0.097, 0.728, 0.000) and Rh at (0.147, 0.662, 0.500).

For the energy relative to the elements, the calculation gives -20 kJ/mol of formula units. The calculation puts the total DFT energy (no corrections) at -7.12 eV per atom. The value obtained for the density of states at the Fermi level is 0.24 states/eV/atom. Its calculated density is 7035 kg/m3.

9.
First-principles (PBE-GGA) data for a relaxed structure of KNi2GeC, as listed in Alexandria via LeMat-Bulk.

The structure belongs to space group P4/mmm (No. 123); the cell edges are 4.056, 4.056 and 4.599 Å and the angles 90.00°, 90.00° and 90.00°. The asymmetric unit holds K at (0.000, 0.000, 0.000), Ni at (0.000, 0.500, 0.500), Ge at (0.500, 0.500, 0.000) and C at (0.500, 0.500, 0.500).

For the energy relative to the elements, the calculation gives 358 kJ/mol of formula units. The calculation puts the total DFT energy (no corrections) at -4.56 eV per atom. The value obtained for the density of states at the Fermi level is 0.62 states/eV/atom. Its calculated density is 5293 kg/m3.

10.
First-principles (PBE-GGA) data for a relaxed structure of Tb3Ag, as listed in Alexandria via LeMat-Bulk.

The structure belongs to space group Fm-3m (No. 225); the cell edges are 7.631, 7.631 and 7.631 Å and the angles 90.00°, 90.00° and 90.00°. The asymmetric unit holds Tb at (0.000, 0.000, 0.000), Tb at (0.250, 0.250, 0.250) and Ag at (0.000, 0.000, 0.500).

For the energy relative to the elements, the calculation gives 28 kJ/mol of formula units. The calculation puts the total DFT energy (no corrections) at -4.11 eV per atom. The value obtained for the density of states at the Fermi level is 1.12 states/eV/atom. Its calculated density is 8737 kg/m3.

11.
First-principles (PBE-GGA) data for a relaxed structure of SmCdHg4, as listed in Alexandria via LeMat-Bulk.

The structure belongs to space group C2/m (No. 12); the cell edges are 14.485, 8.560 and 5.179 Å and the angles 90.00°, 103.07° and 90.00°. The asymmetric unit holds Sm at (0.199, 0.000, 0.127), Cd at (0.058, 0.500, 0.764), Hg at (0.000, 0.188, 0.000), Hg at (0.132, 0.196, 0.589) and Hg at (0.166, 0.500, 0.292).

For the energy relative to the elements, the calculation gives -99 kJ/mol of formula units. The calculation puts the total DFT energy (no corrections) at -1.31 eV per atom. The value obtained for the density of states at the Fermi level is 0.38 states/eV/atom. Its calculated density is 11312 kg/m3.

12.
First-principles (PBE-GGA) data for a relaxed structure of Ca3ScCu, as listed in Alexandria via LeMat-Bulk.

The structure belongs to space group Pm-3m (No. 221); the cell edges are 5.546, 5.546 and 5.546 Å and the angles 90.00°, 90.00° and 90.00°. The asymmetric unit holds Ca at (0.000, 0.000, 0.500), Sc at (0.500, 0.500, 0.500) and Cu at (0.000, 0.000, 0.000).

For the energy relative to the elements, the calculation gives 120 kJ/mol of formula units. The calculation puts the total DFT energy (no corrections) at -3.04 eV per atom. The value obtained for the density of states at the Fermi level is 1.45 states/eV/atom. Its calculated density is 2226 kg/m3.

> Which formula does entry 3 have?

LiY3Nb

> What is the total DFT energy (no corrections) in the eighth record?

-7.12 eV per atom

> Among the records above, which one has the highest total DFT energy (no corrections)?

SmCdHg4

> Among the records above, which one has the highest total DFT energy (no corrections)?

SmCdHg4